Computed, not measured: NaTl2SiSe4 after structural relaxation at the PBE level of DFT.

POSCAR file:
```
NaTl2SiSe4
1.0
8.2868 0.0321 -0.4266
0.0263 8.2868 -0.4266
-4.3188 -4.3219 6.3178
Se Tl Na Si
8 4 2 2
direct
0.2457 0.2543 0.0522
0.2795 0.7012 0.4904
0.7543 0.7457 0.5522
0.7205 0.2988 0.5096
0.2012 0.7795 0.9904
0.7988 0.2205 0.0096
0.2457 0.2543 0.4478
0.7543 0.7457 0.9478
0.0000 0.0000 0.5000
0.5000 0.5000 0.0000
0.5000 0.0000 0.0000
0.5000 0.0000 0.5000
0.0000 0.5000 0.0000
0.0000 0.5000 0.5000
0.5000 0.5000 0.5000
0.0000 0.0000 0.0000
```

=====

Computed, not measured: Na2TlSiSe4 after structural relaxation at the PBE level of DFT.

POSCAR file:
```
Na2TlSiSe4
1.0
-2.4245 -5.5412 4.9405
-1.5851 -6.2415 -1.6057
3.8449 -4.4727 3.0429
Na Tl Se Si
2 1 4 1
direct
0.5000 0.2501 0.7499
0.5000 0.7499 0.2501
0.0000 0.0000 0.0000
0.0000 0.8509 0.4923
0.6567 0.4923 0.8509
0.3433 0.1491 0.5077
0.0000 0.5077 0.1491
0.0000 0.5000 0.5000
```

=====

Computed, not measured: Na2YSiSe4 after structural relaxation at the PBE level of DFT.

POSCAR file:
```
Na2YSiSe4
1.0
-6.1183 -4.6434 2.7373
0.6549 -4.6850 -6.6416
6.6439 1.5574 4.7913
Se Na Y Si
8 4 2 2
direct
0.7748 0.2341 0.0044
0.2659 0.7252 0.4956
0.2470 0.2532 0.4663
0.7341 0.2748 0.5044
0.2252 0.7659 0.9956
0.2468 0.2530 0.0337
0.7532 0.7470 0.9663
0.7530 0.7468 0.5337
0.0000 0.0000 0.5000
0.5000 0.5000 0.0000
0.5000 0.0000 0.5000
0.5000 0.0000 0.0000
0.0000 0.5000 0.5000
0.0000 0.5000 0.0000
0.5000 0.5000 0.5000
0.0000 0.0000 0.0000
```

=====

Computed, not measured: NaZn2SiSe4 after structural relaxation at the PBE level of DFT.

POSCAR file:
```
NaZn2SiSe4
1.0
-3.0562 5.2843 -1.4222
-0.5636 -1.9122 -5.9442
-2.8528 -4.0580 4.8900
Se Na Si Zn
4 1 1 2
direct
0.1582 0.1582 0.7405
0.4180 0.8424 0.2603
0.5822 0.5823 0.7404
0.8424 0.4179 0.2604
0.9996 0.9996 0.9992
0.5001 0.5001 0.0002
0.2499 0.7499 0.4998
0.7499 0.2499 0.4997
```

=====

Computed, not measured: NaSm4Se5 after structural relaxation at the PBE level of DFT.

POSCAR file:
```
NaSm4Se5
1.0
4.1132 0.0000 -0.7935
-0.3034 5.6654 -1.5726
0.0075 0.0213 11.0954
Sm Se Na
4 5 1
direct
0.7967 0.7967 0.5934
0.3995 0.3995 0.7990
0.2033 0.2033 0.4066
0.6005 0.6005 0.2010
0.6020 0.1020 0.2040
0.1985 0.6985 0.3971
0.0000 0.5000 0.0000
0.3980 0.8980 0.7960
0.8015 0.3015 0.6029
0.0000 0.0000 0.0000
```

=====

NaSmSe2 (PBE, relaxed); energy above the lowest structure with this stoichiometry = 106 meV/atom
1.0
-3.0555 2.2343 1.5938
-3.3729 0.7468 -2.2212
-5.2785 -5.2047 2.4685
Na Se Sm
1 2 1
direct
0.6688 0.6688 0.9936
0.0865 0.0865 0.7404
0.2455 0.2455 0.2636
0.4992 0.4992 0.5025

=====

NaSm6Se8 (PBE, relaxed); energy above the lowest structure with this stoichiometry = 140 meV/atom
1.0
-3.5863 1.0917 -1.9639
-3.9679 -10.6008 1.3530
-1.9741 7.8880 7.9896
Se Na Sm
8 1 6
direct
0.2513 0.9529 0.3178
0.7487 0.6351 0.9529
0.2513 0.3649 0.0471
0.7495 0.6667 0.3333
0.2505 0.3333 0.6667
0.7487 0.0471 0.6822
0.7487 0.3178 0.3649
0.2513 0.6822 0.6351
0.5000 0.0000 0.0000
0.2492 0.8606 0.5209
0.7508 0.3398 0.8606
0.2492 0.4791 0.3398
0.2492 0.6602 0.1394
0.7508 0.5209 0.6602
0.7508 0.1394 0.4791

=====

NaSm3Se4 (PBE, relaxed); energy above the lowest structure with this stoichiometry = 0 meV/atom
1.0
5.9040 0.0000 0.0000
0.0000 5.9040 0.0000
0.0000 0.0000 5.9040
Sm Se Na
3 4 1
direct
0.0000 0.5000 0.5000
0.5000 0.5000 0.0000
0.5000 0.0000 0.5000
0.5000 0.5000 0.5000
0.0000 0.0000 0.5000
0.0000 0.5000 0.0000
0.5000 0.0000 0.0000
0.0000 0.0000 0.0000

=====

Computed, not measured: Na3Sm5Se8 after structural relaxation at the PBE level of DFT.

POSCAR file:
```
Na3Sm5Se8
1.0
7.2740 0.0000 4.1666
2.4437 6.8512 4.1666
0.0018 0.0013 8.4296
Se Na Sm
8 3 5
direct
0.2525 0.7499 0.2476
0.7475 0.2501 0.7524
0.7462 0.7462 0.7614
0.2501 0.2501 0.7524
0.2538 0.2538 0.2386
0.7499 0.7499 0.2476
0.2501 0.7475 0.7524
0.7499 0.2525 0.2476
0.0000 0.0000 0.5000
0.0000 0.5000 0.5000
0.5000 0.0000 0.5000
0.0000 0.5000 0.0000
0.5000 0.5000 0.5000
0.0000 0.0000 0.0000
0.5000 0.5000 0.0000
0.5000 0.0000 0.0000
```

=====

NaSm6Se8 (PBE, relaxed); energy above the lowest structure with this stoichiometry = 0 meV/atom
1.0
-3.3400 0.4778 7.5988
4.9210 0.6284 6.6719
0.3469 7.1360 4.2523
Se Na Sm
8 1 6
direct
0.2500 0.2500 0.2500
0.2526 0.7474 0.2526
0.7474 0.2526 0.7474
0.2526 0.2526 0.7474
0.2526 0.7474 0.7474
0.7474 0.2526 0.2526
0.7474 0.7474 0.2526
0.7500 0.7500 0.7500
0.0000 0.0000 0.0000
0.0000 0.5000 0.0000
0.5000 0.0000 0.0000
0.5000 0.5000 0.0000
0.0000 0.0000 0.5000
0.5000 0.0000 0.5000
0.0000 0.5000 0.5000

=====

NaSmSe2 (PBE, relaxed); energy above the lowest structure with this stoichiometry = 0 meV/atom
1.0
-5.9212 -4.4836 0.1649
-3.6020 -5.6720 -3.1690
-2.5271 -6.9487 0.7197
Se Na Sm
2 1 1
direct
0.7554 0.7554 0.7554
0.2446 0.2446 0.2446
0.0000 0.0000 0.0000
0.5000 0.5000 0.5000

=====

NaSmSe2 (PBE, relaxed); energy above the lowest structure with this stoichiometry = 39 meV/atom
1.0
4.1817 -0.0010 -0.0004
-2.0917 3.6210 0.0023
-0.0007 -0.0034 7.3338
Na Se Sm
1 2 1
direct
0.0000 0.5000 0.5000
0.6667 0.8333 0.7699
0.3333 0.1667 0.2301
0.0000 0.5000 0.0000

=====

no.,formation energy (no corrections) (eV/atom)
1,-0.37
2,-0.64
3,-1.06
4,-0.52
5,-1.78
6,-1.59
7,-1.67
8,-1.77
9,-1.73
10,-1.81
11,-1.69
12,-1.65